(1)
Compound: Cd6PdAu3
Source: Alexandria
Functional: GGA-PBE
Structure: relaxed

Cell: 7.955 7.955 7.955 Å, 99.37 99.37 99.37°
Sites, in units of the cell vectors:
Au  0.717  0.442  0.849
Au  0.849  0.717  0.442
Au  0.558  0.151  0.283
Au  0.283  0.558  0.151
Au  0.442  0.849  0.717
Au  0.151  0.283  0.558
Cd  0.611  0.465  0.169
Cd  0.036  0.312  0.896
Cd  0.896  0.036  0.312
Cd  0.389  0.535  0.831
Cd  0.465  0.169  0.611
Cd  0.104  0.964  0.688
Cd  0.312  0.896  0.036
Cd  0.169  0.611  0.465
Cd  0.831  0.389  0.535
Cd  0.535  0.831  0.389
Cd  0.964  0.688  0.104
Cd  0.688  0.104  0.964
Pd  0.000  0.000  0.000
Pd  0.500  0.500  0.500

Its symmetry is R-3. Its distance to the lowest polymorph of the same formula is 95 meV/atom.

***

(2)
Compound: CdPd2Au6
Source: Alexandria
Functional: GGA-PBE
Structure: relaxed

Cell: 4.036 8.854 8.854 Å, 90.00 90.00 90.00°
Sites, in units of the cell vectors:
Au  0.500  0.168  0.001
Au  0.000  0.668  0.499
Au  0.500  0.499  0.332
Au  0.000  0.332  0.501
Au  0.500  0.830  0.330
Au  0.000  0.001  0.832
Au  0.000  0.999  0.168
Au  0.000  0.330  0.170
Au  0.500  0.832  0.999
Au  0.500  0.170  0.670
Au  0.500  0.501  0.668
Au  0.000  0.670  0.830
Cd  0.000  0.000  0.500
Cd  0.500  0.500  0.000
Pd  0.000  0.663  0.163
Pd  0.500  0.163  0.337
Pd  0.500  0.837  0.663
Pd  0.000  0.337  0.837

Its symmetry is P4_2/mnm. Its distance to the lowest polymorph of the same formula is 0 meV/atom.

***

(3)
Compound: Cd2PdAu
Source: Alexandria
Functional: GGA-PBE
Structure: relaxed

Cell: 3.065 3.065 9.367 Å, 80.58 80.58 60.00°
Sites, in units of the cell vectors:
Cd  0.079  0.079  0.762
Cd  0.254  0.254  0.239
Pd  0.667  0.667  0.000
Au  0.500  0.500  0.500

Its symmetry is R3m.

***

(4)
Compound: CdPd4Au6
Source: Alexandria
Functional: GGA-PBE
Structure: relaxed

Cell: 7.035 7.035 7.035 Å, 81.46 125.05 125.05°
Sites, in units of the cell vectors:
Au  0.000  0.772  0.456
Au  0.684  0.228  0.228
Au  0.316  0.544  0.544
Au  0.500  0.000  0.500
Au  0.000  0.456  0.772
Au  0.500  0.500  0.000
Pd  0.000  0.096  0.604
Pd  0.000  0.604  0.096
Pd  0.508  0.904  0.904
Pd  0.492  0.396  0.396
Cd  0.000  0.000  0.000

Its symmetry is I-42m.

***

Result set for N(E_F): 0.208, 0.058, 0.397, 0.362 states/eV/atom, one per record in the order listed.
Result set for ΔH_f (0 K): -1.00, -1.33, -0.76, 2.17 eV/f.u., one per record in the order listed.